Entry 1:
Computed, not measured: a relaxed structure of Hf3Al3CoCuIr at the PBE level of DFT.

abc: 7.0753 7.0753 3.3775
angles: 90.00 90.00 120.00
Element x y z (fractional)
Al1 0.4088 0.0762 0.0000
Al2 0.9238 0.3327 0.0000
Al3 0.6673 0.5912 0.0000
Co1 0.0000 0.0000 0.0000
Cu1 0.6667 0.3333 0.5000
Hf1 0.2539 0.3211 0.5000
Hf2 0.0672 0.7461 0.5000
Hf3 0.6789 0.9328 0.5000
Ir1 0.3333 0.6667 0.0000

* raw total energy: -7.397 eV/atom

Entry 2:
Computed, not measured: a relaxed structure of YAlCoRe at the PBE level of DFT.

abc: 4.5859 4.5859 4.5859
angles: 60.00 60.00 60.00
Element x y z (fractional)
Al1 0.0000 0.0000 0.0000
Co1 0.7500 0.7500 0.7500
Re1 0.5000 0.5000 0.5000
Y1 0.2500 0.2500 0.2500

* energy above the lowest structure with this stoichiometry: 0.235 eV/atom
* raw total energy: -7.023 eV/atom